Record 1
This record from Alexandria via LeMat-Bulk describes a relaxed LiMgTa2Ru crystal. The functional is PBE.

Summary:
ΔE_f: 967 meV per atom

Unit cell a=4.435 b=4.212 c=4.435 alpha=90.00 beta=90.00 gamma=90.00
Positions (direct):
Ta 0.000 0.000 0.500
Mg 0.500 0.500 0.500
Ta 0.500 0.000 0.000
Li 0.000 0.000 0.000
Ru 0.000 0.500 0.000

***

Record 2
This record from Alexandria via LeMat-Bulk describes a relaxed LiTbMgRu crystal. The functional is PBE.

Summary:
ΔE_f: -123 meV per atom

Unit cell a=4.752 b=4.752 c=4.752 alpha=60.00 beta=60.00 gamma=60.00
Positions (direct):
Mg 0.000 0.000 0.000
Li 0.250 0.250 0.250
Tb 0.500 0.500 0.500
Ru 0.750 0.750 0.750

***

Record 3
This record from Alexandria via LeMat-Bulk describes a relaxed LiTmMgRu crystal. The functional is PBE.

Summary:
ΔE_f: -162 meV per atom

Unit cell a=4.701 b=4.701 c=4.701 alpha=60.00 beta=60.00 gamma=60.00
Positions (direct):
Li 0.250 0.250 0.250
Mg 0.000 0.000 0.000
Ru 0.750 0.750 0.750
Tm 0.500 0.500 0.500

***

Record 4
This record from Alexandria via LeMat-Bulk describes a relaxed LiMgURu crystal. The functional is PBE.

Summary:
ΔE_f: 185 meV per atom

Unit cell a=4.691 b=4.691 c=4.691 alpha=60.00 beta=60.00 gamma=60.00
Positions (direct):
Ru 0.750 0.750 0.750
Mg 0.500 0.500 0.500
Li 0.250 0.250 0.250
U 0.000 0.000 0.000

***

Record 5
This record from Alexandria via LeMat-Bulk describes a relaxed LiMgVRu crystal. The functional is PBE.

Summary:
ΔE_f: 40 meV per atom

Unit cell a=4.351 b=4.351 c=4.351 alpha=60.00 beta=60.00 gamma=60.00
Positions (direct):
Ru 0.750 0.750 0.750
Li 0.250 0.250 0.250
Mg 0.500 0.500 0.500
V 0.000 0.000 0.000

***

Record 6
This record from Alexandria via LeMat-Bulk describes a relaxed LiMgRuW crystal. The functional is PBE.

Summary:
ΔE_f: 116 meV per atom

Unit cell a=4.365 b=4.365 c=4.365 alpha=60.00 beta=60.00 gamma=60.00
Positions (direct):
Li 0.750 0.750 0.750
Mg 0.500 0.500 0.500
Ru 0.250 0.250 0.250
W 0.000 0.000 0.000

***

Record 7
This record from Alexandria via LeMat-Bulk describes a relaxed LiYMgRu crystal. The functional is PBE.

Summary:
ΔE_f: -122 meV per atom

Unit cell a=4.753 b=4.753 c=4.753 alpha=60.00 beta=60.00 gamma=60.00
Positions (direct):
Mg 0.000 0.000 0.000
Li 0.250 0.250 0.250
Y 0.500 0.500 0.500
Ru 0.750 0.750 0.750

***

Record 8
This record from Alexandria via LeMat-Bulk describes a relaxed LiMg2Zn5Ru2 crystal. The functional is PBE.

Summary:
ΔE_f: -94 meV per atom

Unit cell a=4.067 b=9.030 c=9.030 alpha=90.00 beta=90.00 gamma=90.00
Positions (direct):
Zn 0.500 0.794 0.925
Mg 0.000 0.674 0.174
Zn 0.500 0.706 0.425
Zn 0.500 0.425 0.294
Mg 0.000 0.326 0.826
Ru 0.000 0.880 0.380
Zn 0.500 0.575 0.706
Mg 0.000 0.826 0.674
Li 0.000 0.500 0.500
Zn 0.500 0.500 0.000
Zn 0.500 0.206 0.075
Zn 0.500 0.294 0.575
Li 0.000 0.000 0.000
Zn 0.500 0.925 0.206
Zn 0.500 0.075 0.794
Zn 0.500 0.000 0.500
Mg 0.000 0.174 0.326
Ru 0.000 0.120 0.620
Ru 0.000 0.380 0.120
Ru 0.000 0.620 0.880

***

Record 9
This record from Alexandria via LeMat-Bulk describes a relaxed Li3MgS crystal. The functional is PBE.

Summary:
relative energy among the computed polymorphs: 910 meV/atom
formation energy (no corrections): 1.9 eV per formula unit

Unit cell a=4.940 b=4.940 c=4.940 alpha=90.00 beta=90.00 gamma=90.00
Positions (direct):
Li 0.000 0.000 0.500
S 0.500 0.500 0.500
Li 0.000 0.500 0.000
Li 0.500 0.000 0.000
Mg 0.000 0.000 0.000

***

Record 10
This record from Alexandria via LeMat-Bulk describes a relaxed LiMg5S6 crystal. The functional is PBE.

Summary:
formation energy (no corrections): -15.5 eV per formula unit

Unit cell a=6.383 b=6.383 c=6.390 alpha=99.64 beta=99.64 gamma=119.88
Positions (direct):
S 0.579 0.917 0.749
Mg 0.834 0.166 0.500
Mg 0.666 0.334 0.000
Mg 0.334 0.666 0.000
Li 0.000 0.000 0.000
Mg 0.500 0.500 0.500
S 0.083 0.421 0.251
S 0.917 0.579 0.749
Mg 0.166 0.834 0.500
S 0.421 0.083 0.251
S 0.254 0.254 0.747
S 0.746 0.746 0.253

***

Record 11
This record from Alexandria via LeMat-Bulk describes a relaxed LiMgS2 crystal. The functional is PBE.

Summary:
formation energy (no corrections): -4.0 eV per formula unit

Unit cell a=3.805 b=3.805 c=6.016 alpha=71.56 beta=71.56 gamma=60.00
Positions (direct):
Li 0.495 0.495 0.514
S 0.252 0.252 0.243
S 0.084 0.084 0.749
Mg 0.669 0.669 0.994

***

Record 12
This record from Alexandria via LeMat-Bulk describes a relaxed Li3MgS crystal. The functional is PBE.

Summary:
relative energy among the computed polymorphs: 0 meV/atom
formation energy (no corrections): -2.6 eV per formula unit

Unit cell a=4.682 b=4.682 c=4.682 alpha=90.00 beta=90.00 gamma=90.00
Positions (direct):
S 0.000 0.000 0.000
Li 0.000 0.500 0.000
Mg 0.500 0.500 0.500
Li 0.500 0.000 0.000
Li 0.000 0.000 0.500

***

no.,total DFT energy (no corrections) (eV/atom),calculated density (Mg/m³)
1,-6.33,9.9
2,-4.48,6.4
3,-4.48,6.8
4,-5.83,8.4
5,-5.44,5.2
6,-6.32,8.9
7,-4.93,4.8
8,-3.10,5.9
9,-1.91,1.1
10,-4.18,2.5
11,-3.94,2.3
12,-2.82,1.2